Entry 1:
# TaBe4Pb | Alexandria | SCAN | PBEsol geometry
data_TaBe4Pb
_symmetry_space_group_name_H-M 'P 1'
_symmetry_Int_Tables_number 1
_symmetry_space_group_name_Hall 'P 1'
_cell_length_a 4.740
_cell_length_b 4.740
_cell_length_c 4.740
_cell_angle_alpha 60.00
_cell_angle_beta 60.00
_cell_angle_gamma 60.00
loop_
_atom_site_label
_atom_site_type_symbol
_atom_site_fract_x
_atom_site_fract_y
_atom_site_fract_z
_atom_site_occupancy
Pb1 Pb 0.750 0.750 0.750 1
Be1 Be 0.368 0.368 0.368 1
Be2 Be 0.368 0.368 0.897 1
Be3 Be 0.897 0.368 0.368 1
Be4 Be 0.368 0.897 0.368 1
Ta1 Ta 0.000 0.000 0.000 1
# ΔE_f in kcal/mol of atoms: 10.57
# Final energy in eV/atom: -26.17
# Space-group type: No. 216

Entry 2:
# InGaAuS2 | Alexandria | SCAN | PBEsol geometry
data_InGaAuS2
_symmetry_space_group_name_H-M 'P 1'
_symmetry_Int_Tables_number 1
_symmetry_space_group_name_Hall 'P 1'
_cell_length_a 4.901
_cell_length_b 4.901
_cell_length_c 5.212
_cell_angle_alpha 90.00
_cell_angle_beta 90.00
_cell_angle_gamma 90.00
loop_
_atom_site_label
_atom_site_type_symbol
_atom_site_fract_x
_atom_site_fract_y
_atom_site_fract_z
_atom_site_occupancy
S1 S 0.000 0.500 0.000 1
S2 S 0.500 0.000 0.000 1
Au1 Au 0.500 0.500 0.500 1
Ga1 Ga 0.000 0.000 0.500 1
In1 In 0.000 0.000 0.000 1
# Final energy in eV/atom: -26.92
# E_form (uncorrected) in eV per atom: 0.71
# Space-group type: No. 123

Entry 3:
# Li3Cr5O10 | Alexandria | SCAN | PBEsol geometry
data_Li3Cr5O10
_symmetry_space_group_name_H-M 'P 1'
_symmetry_Int_Tables_number 1
_symmetry_space_group_name_Hall 'P 1'
_cell_length_a 4.998
_cell_length_b 5.831
_cell_length_c 6.468
_cell_angle_alpha 103.25
_cell_angle_beta 97.62
_cell_angle_gamma 106.66
loop_
_atom_site_label
_atom_site_type_symbol
_atom_site_fract_x
_atom_site_fract_y
_atom_site_fract_z
_atom_site_occupancy
Li1 Li 0.203 0.902 0.902 1
Li2 Li 0.797 0.098 0.098 1
Li3 Li 0.000 0.500 0.500 1
Cr1 Cr 0.399 0.796 0.308 1
Cr2 Cr 0.000 0.000 0.500 1
Cr3 Cr 0.207 0.403 0.904 1
Cr4 Cr 0.601 0.204 0.692 1
Cr5 Cr 0.793 0.597 0.096 1
O1 O 0.300 0.873 0.589 1
O2 O 0.491 0.735 0.021 1
O3 O 0.088 0.920 0.209 1
O4 O 0.288 0.322 0.620 1
O5 O 0.700 0.127 0.411 1
O6 O 0.509 0.265 0.979 1
O7 O 0.912 0.080 0.791 1
O8 O 0.096 0.473 0.188 1
O9 O 0.712 0.678 0.380 1
O10 O 0.904 0.527 0.812 1
# Final energy in eV/atom: -11.36
# E_form (uncorrected) in eV per atom: -2.40
# Space-group type: No. 2

Entry 4:
# K3ZrN | Alexandria | SCAN | PBEsol geometry
data_K3ZrN
_symmetry_space_group_name_H-M 'P 1'
_symmetry_Int_Tables_number 1
_symmetry_space_group_name_Hall 'P 1'
_cell_length_a 5.570
_cell_length_b 5.570
_cell_length_c 5.570
_cell_angle_alpha 90.00
_cell_angle_beta 90.00
_cell_angle_gamma 90.00
loop_
_atom_site_label
_atom_site_type_symbol
_atom_site_fract_x
_atom_site_fract_y
_atom_site_fract_z
_atom_site_occupancy
K1 K 0.000 0.500 0.000 1
K2 K 0.000 0.000 0.500 1
K3 K 0.500 0.000 0.000 1
Zr1 Zr 0.500 0.500 0.500 1
N1 N 0.000 0.000 0.000 1
# Final energy in eV/atom: -11.79
# E_form (uncorrected) in eV per atom: 1.21
# Space-group type: No. 221